Entry 1:
A relaxed structure of CaCd2F4. Source: Alexandria, functional PBE.

Cell: 4.887 4.887 11.360 Å, 90.00 90.00 90.00°
Space group I4/mmm (No. 139)
Asymmetric unit:
Ca  0.000  0.000  0.000
Cd  0.000  0.000  0.383
F  0.000  0.000  0.194
F  0.000  0.500  0.000

Values from the calculation:
formation energy from raw total energies: -2.362 eV/atom
spin magnetization: 0.000 μB per formula unit

Entry 2:
A relaxed structure of Ca2CdF. Source: Alexandria, functional PBE.

Cell: 3.6658 3.6658 28.6656 Å, 90.00 90.00 120.00°
Space group R-3m (No. 166, hexagonal axes)
Asymmetric unit:
Ca  0.0000  0.0000  0.1117
Cd  0.0000  0.0000  0.0000
F  0.0000  0.0000  0.5000

Values from the calculation:
offset from the most stable computed form: 0.407 eV/atom
formation energy from raw total energies: -1.058 eV/atom
spin magnetization: 0.919 μB per formula unit

Entry 3:
A relaxed structure of CaCd3F6. Source: Alexandria, functional PBE.

Cell: 9.642 6.187 6.283 Å, 90.00 123.89 90.00°
Space group C2/m (No. 12)
Asymmetric unit:
Ca  0.000  0.000  0.000
Cd  0.000  0.500  0.500
Cd  0.182  0.000  0.651
F  0.098  0.282  0.290
F  0.235  0.500  0.900

Values from the calculation:
formation energy from raw total energies: -2.345 eV/atom
spin magnetization: 0.000 μB per formula unit

Entry 4:
A relaxed structure of CaCdF. Source: Alexandria, functional PBE.

Cell: 3.795 5.276 7.963 Å, 106.68 90.23 110.65°
Space group P-1 (No. 2)
Asymmetric unit:
Ca  0.142  0.283  0.309
Cd  0.365  0.731  0.042
F  0.351  0.706  0.539

Values from the calculation:
offset from the most stable computed form: 0.109 eV/atom
formation energy from raw total energies: -1.947 eV/atom
spin magnetization: 0.000 μB per formula unit